(1)
Compound: CsBiW3
Source: the Alexandria database
Functional: PBE-GGA
Structure: optimized geometry

Values from the calculation:
ΔE_f   3.185 eV per atom
ρ   10.11 g/cm³
Fermi-level density of states   1.89 states/eV per atom
Size of the total moment   3.034 μB/f.u.

Lattice parameters (Å, degrees): 5.275 5.275 5.275 90.00 90.00 90.00
Positions (direct):
Bi 0.000 0.000 0.000
Cs 0.500 0.500 0.500
W 0.000 0.000 0.500
W 0.500 0.000 0.000
W 0.000 0.500 0.000


(2)
Compound: Cs2YBi
Source: the Alexandria database
Functional: PBE-GGA
Structure: optimized geometry

Values from the calculation:
ΔE_f   0.016 eV per atom
ρ   2.96 g/cm³
Fermi-level density of states   0.02 states/eV per atom
Size of the total moment   0.000 μB/f.u.

Lattice parameters (Å, degrees): 14.538 14.538 10.707 47.24 47.24 90.00
Positions (direct):
Cs 0.875 0.032 0.750
Y 0.250 0.750 0.500
Cs 0.968 0.625 0.250
Cs 0.375 0.218 0.750
Bi 0.000 0.000 0.000
Y 0.500 0.500 0.000
Bi 0.750 0.250 0.500
Cs 0.782 0.125 0.250


(3)
Compound: CsY2Bi2
Source: the Alexandria database
Functional: PBE-GGA
Structure: optimized geometry

Values from the calculation:
ΔE_f   -0.442 eV per atom
ρ   7.15 g/cm³
Fermi-level density of states   0.58 states/eV per atom
Size of the total moment   0.990 μB/f.u.

Lattice parameters (Å, degrees): 9.265 9.265 3.942 90.00 90.00 90.00
Positions (direct):
Y 0.873 0.627 0.000
Y 0.127 0.373 0.000
Bi 0.661 0.839 0.500
Bi 0.161 0.661 0.500
Cs 0.500 0.500 0.000
Bi 0.339 0.161 0.500
Y 0.627 0.127 0.000
Cs 0.000 0.000 0.000
Bi 0.839 0.339 0.500
Y 0.373 0.873 0.000